Entry 1:
# Ca2Mg

A PBEsol-optimized structure of Ca2Mg (SCAN, Alexandria via LeMat-Bulk).

Space group: I4/mcm (140)
Calculated formation energy: -0.0313 eV/atom
Theoretical density: 1648 kg/m3
Crystal system: tetragonal
VASP energy: -8.132 eV/atom

```
6
Lattice="6.4196 0.0000 0.0000 3.2098 5.7270 0.0000 3.2098 0.0000 5.7270" Properties=species:S:1:pos:R:3 pbc="T T T"
Ca 6.4196 2.8635 1.0038
Ca 3.2098 1.0038 2.8635
Ca 9.6293 4.7232 2.8635
Ca 6.4196 2.8635 4.7232
Mg 4.8147 0.0000 0.0000
Mg 1.6049 0.0000 0.0000
```



Entry 2:
# KCaMo2F

A PBEsol-optimized structure of KCaMo2F (SCAN, Alexandria via LeMat-Bulk).

Space group: P4/mmm (123)
Formation energy without anion corrections: 1.16 eV/atom
Theoretical density: 3023 kg/m3
Crystal system: tetragonal
VASP energy: -17.099 eV/atom

```
5
Lattice="-0.4122 2.8213 3.3948 -0.5433 -4.6238 3.7767 5.9441 -0.0649 0.7757" Properties=species:S:1:pos:R:3 pbc="T T T"
K 0.0000 0.0000 0.0000
Mo 2.9720 -0.0325 0.3878
Mo -0.2717 -2.3119 1.8883
Ca 2.4943 -0.9337 3.9736
F -0.2061 1.4106 1.6974
```



Entry 3:
# BeGeI3

A PBEsol-optimized structure of BeGeI3 (SCAN, Alexandria via LeMat-Bulk).

Space group: Pm-3m (221)
Formation energy without anion corrections: 0.56 eV/atom
Theoretical density: 4314 kg/m3
Crystal system: cubic
VASP energy: -26.173 eV/atom

```
5
Lattice="-1.6217 -0.4901 -5.3636 -5.2300 -1.1948 1.6905 -1.2866 5.4745 -0.1112" Properties=species:S:1:pos:R:3 pbc="T T T"
I -2.6150 -0.5974 0.8452
I -0.6433 2.7373 -0.0556
I -0.8108 -0.2450 -2.6818
Be -4.0692 1.8948 -1.8922
Ge 0.0000 0.0000 0.0000
```



Entry 4:
# Sc4Al3

A PBEsol-optimized structure of Sc4Al3 (SCAN, Alexandria via LeMat-Bulk).

Space group: I4/mmm (139)
Calculated formation energy: -0.2674 eV/atom
Theoretical density: 3118 kg/m3
Crystal system: tetragonal
VASP energy: -11.725 eV/atom

```
7
Lattice="-0.9201 -1.9923 -2.2444 1.9193 -2.1953 1.1620 -10.8591 -2.5385 8.9003" Properties=species:S:1:pos:R:3 pbc="T T T"
Al 0.0000 0.0000 0.0000
Al -4.0871 -4.1448 3.1598
Al -5.7729 -2.5814 4.6581
Sc -6.6902 -5.3088 5.2602
Sc -3.1697 -1.4174 2.5577
Sc -0.9211 -2.7291 0.6051
Sc -8.9389 -3.9970 7.2127
```



Entry 5:
# FeCu2Pt

A PBEsol-optimized structure of FeCu2Pt (SCAN, Alexandria via LeMat-Bulk).

Space group: I4/mmm (139)
Calculated formation energy: -0.1828 eV/atom
Theoretical density: 12611 kg/m3
Crystal system: tetragonal
VASP energy: -29.863 eV/atom

```
4
Lattice="-0.7016 2.2763 2.7777 -2.9468 1.2527 -1.7709 -0.2612 -4.3821 1.1150" Properties=species:S:1:pos:R:3 pbc="T T T"
Cu -1.3935 -0.1707 2.1980
Cu -2.5161 -0.6825 -0.0763
Pt 0.0000 0.0000 0.0000
Fe -1.8242 1.7645 0.5034
```



Entry 6:
# AlRe2Si

A PBEsol-optimized structure of AlRe2Si (SCAN, Alexandria via LeMat-Bulk).

Space group: Immm (71)
E above lowest polymorph: 0.154 eV per atom
Formation energy without anion corrections: -0.05 eV/atom
Theoretical density: 12611 kg/m3
Crystal system: orthorhombic
VASP energy: -40.036 eV/atom

```
4
Lattice="3.0044 0.0000 0.0000 0.0000 4.6094 0.0000 -1.5022 -2.3047 4.0646" Properties=species:S:1:pos:R:3 pbc="T T T"
Re 1.5022 2.3047 1.8748
Re 0.0000 0.0000 2.1898
Si 0.0000 2.3047 0.0000
Al 1.5022 0.0000 0.0000
```



Entry 7:
# BaFe2Ir2

A PBEsol-optimized structure of BaFe2Ir2 (SCAN, Alexandria via LeMat-Bulk).

Space group: I4/mmm (139)
Calculated formation energy: 0.0109 eV/atom
Theoretical density: 11330 kg/m3
Crystal system: tetragonal
VASP energy: -43.591 eV/atom

```
5
Lattice="-3.8460 0.8389 1.7078 0.1649 -3.6899 2.1839 4.0681 3.8028 1.9026" Properties=species:S:1:pos:R:3 pbc="T T T"
Ir 1.6627 1.7746 2.8727
Ir -1.2758 -0.8227 2.9216
Ba 0.0000 0.0000 0.0000
Fe 1.1962 -0.6563 3.0162
Fe -0.8092 1.6081 2.7781
```



Entry 8:
# BaAu2Cl

A PBEsol-optimized structure of BaAu2Cl (SCAN, Alexandria via LeMat-Bulk).

Space group: Fm-3m (225)
E above lowest polymorph: 0.393 eV per atom
Formation energy without anion corrections: -0.50 eV/atom
Theoretical density: 9178 kg/m3
Crystal system: cubic
VASP energy: -46.965 eV/atom

```
4
Lattice="5.2536 0.0000 0.0000 2.6268 4.5497 0.0000 2.6268 1.5166 4.2895" Properties=species:S:1:pos:R:3 pbc="T T T"
Au 2.6268 1.5166 1.0724
Au 7.8804 4.5497 3.2172
Ba 0.0000 0.0000 0.0000
Cl 5.2536 3.0332 2.1448
```